Entry 1:
A plane-wave DFT calculation with PBE-GGA was carried out for a relaxed structure of Li3Mg2Pd.

Output
total magnetic moment	0.0	μB per formula unit
D(E_F)	2.45	states/eV/f.u.
E above lowest polymorph	0.0	meV/atom

abc: 3.8112 6.8044 9.8271
angles: 115.54 90.00 106.26
Last column: nearest neighbours and their distance in Å.
Fractional positions:
Li 0.2969 0.5937 0.6451  7 Li 2.85-3.18, 2 Pd 2.85, 2 Mg 2.86-2.88
Li 0.9529 0.9059 0.6291  7 Li 2.85-3.16, 3 Mg 2.91-3.19, 1 Pd 3.15
Li 0.6283 0.2566 0.6248  7 Li 2.85-3.14, 2 Mg 2.89, 1 Pd 3.07
Li 0.3717 0.7434 0.3752  7 Li 2.85-3.14, 2 Mg 2.89, 1 Pd 3.07
Li 0.0471 0.0941 0.3709  7 Li 2.85-3.16, 3 Mg 2.91-3.19, 1 Pd 3.15
Li 0.7031 0.4063 0.3549  7 Li 2.85-3.18, 2 Pd 2.85, 2 Mg 2.86-2.88
Mg 0.5302 0.0604 0.8793  4 Pd 2.81-2.83, 4 Mg 2.82-3.12, 3 Li 2.88-2.91
Mg 0.4698 0.9396 0.1207  4 Pd 2.81-2.83, 4 Mg 2.82-3.12, 3 Li 2.88-2.91
Mg 0.7837 0.5674 0.1283  3 Pd 2.75-3.07, 3 Li 2.86-2.89, 2 Mg 2.96
Mg 0.2163 0.4326 0.8717  3 Pd 2.75-3.07, 3 Li 2.86-2.89, 2 Mg 2.96
Pd 0.8724 0.7448 0.8869  7 Mg 2.75-3.07, 3 Li 2.85-3.07, 1 Pd 3.07
Pd 0.1276 0.2552 0.1131  7 Mg 2.75-3.07, 3 Li 2.85-3.07, 1 Pd 3.07

---

Entry 2:
A plane-wave DFT calculation with PBE-GGA was carried out for a relaxed structure of NbPd6Pt2.

Output
total magnetic moment	0.0	μB per formula unit
D(E_F)	6.39	states/eV/f.u.
E above lowest polymorph	106.8	meV/atom

abc: 8.4056 5.9884 5.9884
angles: 104.31 82.85 82.85
Last column: nearest neighbours and their distance in Å.
Fractional positions:
Nb 0.2500 0.1276 0.8724  2 Pt 2.63, 8 Pd 2.68-2.81
Nb 0.7500 0.8724 0.1276  2 Pt 2.63, 8 Pd 2.68-2.81
Pd 0.4642 0.7969 0.5535  1 Nb 2.68, 6 Pd 2.71-2.83, 3 Pt 2.80-2.86
Pd 0.0358 0.4465 0.2031  1 Nb 2.68, 6 Pd 2.71-2.83, 3 Pt 2.80-2.86
Pd 0.5358 0.2031 0.4465  1 Nb 2.68, 6 Pd 2.71-2.83, 3 Pt 2.80-2.86
Pd 0.9642 0.5535 0.7969  1 Nb 2.68, 6 Pd 2.71-2.83, 3 Pt 2.80-2.86
Pd 0.8620 0.2110 0.4514  6 Pd 2.71-2.83, 3 Pt 2.71-2.84, 1 Nb 2.78
Pd 0.6380 0.5486 0.7890  6 Pd 2.71-2.83, 3 Pt 2.71-2.84, 1 Nb 2.78
Pd 0.1380 0.7890 0.5486  6 Pd 2.71-2.83, 3 Pt 2.71-2.84, 1 Nb 2.78
Pd 0.3620 0.4514 0.2110  6 Pd 2.71-2.83, 3 Pt 2.71-2.84, 1 Nb 2.78
Pd 0.0832 0.8816 0.1289  6 Pd 2.72-2.82, 2 Nb 2.76-2.81, 2 Pt 2.78-2.79
Pd 0.4168 0.8711 0.1184  6 Pd 2.72-2.82, 2 Nb 2.76-2.81, 2 Pt 2.78-2.79
Pd 0.9168 0.1184 0.8711  6 Pd 2.72-2.82, 2 Nb 2.76-2.81, 2 Pt 2.78-2.79
Pd 0.5832 0.1289 0.8816  6 Pd 2.72-2.82, 2 Nb 2.76-2.81, 2 Pt 2.78-2.79
Pt 0.3007 0.5306 0.8007  1 Nb 2.63, 8 Pd 2.71-2.86, 1 Pt 2.74
Pt 0.1993 0.1993 0.4694  1 Nb 2.63, 8 Pd 2.71-2.86, 1 Pt 2.74
Pt 0.6993 0.4694 0.1993  1 Nb 2.63, 8 Pd 2.71-2.86, 1 Pt 2.74
Pt 0.8007 0.8007 0.5306  1 Nb 2.63, 8 Pd 2.71-2.86, 1 Pt 2.74

---

Entry 3:
A plane-wave DFT calculation with PBE-GGA was carried out for a relaxed structure of KRuRh.

Output
total magnetic moment	0.0	μB per formula unit
D(E_F)	3.27	states/eV/f.u.
E above lowest polymorph	74.0	meV/atom

abc: 13.2863 6.5346 6.5346
angles: 140.53 150.61 29.39
Last column: nearest neighbours and their distance in Å.
Fractional positions:
Ru 0.4276 0.5714 0.4286  2 Ru 2.53, 4 Rh 2.54-2.63
Ru 0.2214 0.2240 0.7760  2 Ru 2.53, 4 Rh 2.58-2.66
K 0.2324 0.4762 0.5238  3 Ru 3.24-3.53, 3 Rh 3.34-3.61, 4 K 3.36-3.38
K 0.7346 0.5092 0.4908  3 Rh 3.22-3.52, 4 K 3.36-3.38, 3 Ru 3.38-3.58
Rh 0.9349 0.0168 0.9832  4 Ru 2.54-2.64, 2 Rh 2.56
Rh 0.7131 0.7925 0.2075  2 Rh 2.56, 4 Ru 2.58-2.66

---

Entry 4:
A plane-wave DFT calculation with PBE-GGA was carried out for a relaxed structure of Ca2YMg2.

Output
total magnetic moment	0.1	μB per formula unit
D(E_F)	9.23	states/eV/f.u.
E above lowest polymorph	73.5	meV/atom

abc: 8.9900 8.9900 4.0390
angles: 90.00 90.00 90.00
Last column: nearest neighbours and their distance in Å.
Fractional positions:
Y 0.0000 0.0000 0.0000  4 Mg 3.54, 8 Ca 3.89
Y 0.5000 0.5000 0.0000  4 Mg 3.54, 8 Ca 3.89
Ca 0.1720 0.6720 0.5000  6 Mg 3.26-3.38
Ca 0.6720 0.8280 0.5000  6 Mg 3.26-3.38
Ca 0.8280 0.3280 0.5000  6 Mg 3.26-3.38
Ca 0.3280 0.1720 0.5000  6 Mg 3.26-3.38
Mg 0.3733 0.8733 0.0000  1 Mg 3.22, 6 Ca 3.26-3.38, 2 Y 3.54
Mg 0.8733 0.6267 0.0000  1 Mg 3.22, 6 Ca 3.26-3.38, 2 Y 3.54
Mg 0.6267 0.1267 0.0000  1 Mg 3.22, 6 Ca 3.26-3.38, 2 Y 3.54
Mg 0.1267 0.3733 0.0000  1 Mg 3.22, 6 Ca 3.26-3.38, 2 Y 3.54

---

- Look up the E above lowest polymorph of the second one.
  106.8 meV/atom

---

- Look up the E above lowest polymorph of the third one.
  74.0 meV/atom

---

- Among the records above, which one has the highest E above lowest polymorph?
  NbPd6Pt2